# PBE+U AgMoNO2, optimized geometry
# Total magnetization, μB per formula unit: 0.000
# Energy, eV/atom: -5.977
# DOS at the Fermi energy, states/eV/cell: 2.4
data_AgMoNO2
_cell_length_a 3.9384
_cell_length_b 3.9384
_cell_length_c 4.0029
_cell_angle_alpha 90.00
_cell_angle_beta 90.00
_cell_angle_gamma 90.00
_symmetry_space_group_name_H-M 'P 4/m m m'
_symmetry_Int_Tables_number 123
_symmetry_space_group_name_Hall '-P 4 2'
loop_
_atom_site_label
_atom_site_type_symbol
_atom_site_fract_x
_atom_site_fract_y
_atom_site_fract_z
Ag1 Ag 0.0000 0.0000 0.0000
Mo1 Mo 0.5000 0.5000 0.5000
N1 N 0.5000 0.5000 0.0000
O1 O 0.0000 0.5000 0.5000